P | Density functional theory data (PBE+U) for a relaxed Li2NbFe3O8 crystal.

Structure (POSCAR):
```
Li2NbFe3O8
1.0
3.020 1.744 5.022
-3.020 1.744 5.022
0.000 -3.487 5.022
Li Nb Fe O
2 1 3 8
direct
0.130 0.130 0.130
0.870 0.870 0.870
0.500 0.500 0.500
0.000 0.500 0.500
0.500 0.000 0.500
0.500 0.500 0.000
0.265 0.265 0.719
0.265 0.719 0.265
0.266 0.266 0.266
0.281 0.735 0.735
0.719 0.265 0.265
0.734 0.734 0.734
0.735 0.281 0.735
0.735 0.735 0.281
```


Q | Density functional theory data (PBE+U) for a relaxed Li2NbFe3O8 crystal.

Structure (POSCAR):
```
Li2NbFe3O8
1.0
6.005 0.000 0.000
-3.002 5.200 0.000
0.000 0.000 9.754
Li Nb Fe O
4 2 6 16
direct
0.000 0.000 0.000
0.000 0.000 0.500
0.333 0.667 0.412
0.667 0.333 0.912
0.333 0.667 0.003
0.667 0.333 0.503
0.171 0.342 0.726
0.171 0.829 0.726
0.342 0.171 0.226
0.658 0.829 0.726
0.829 0.171 0.226
0.829 0.658 0.226
0.000 0.000 0.313
0.000 0.000 0.813
0.038 0.519 0.853
0.168 0.335 0.101
0.168 0.832 0.101
0.333 0.667 0.617
0.335 0.168 0.601
0.481 0.519 0.853
0.481 0.962 0.853
0.519 0.038 0.353
0.519 0.481 0.353
0.665 0.832 0.101
0.667 0.333 0.117
0.832 0.168 0.601
0.832 0.665 0.601
0.962 0.481 0.353
```


Top of the stability list: Q, leading by 26 meV per atom.